No. 1
PrSm2Dy2Er2 after structural relaxation. Source: Alexandria, functional GGA-PBE.

Calculated values
As for the total energy: -32.42 eV per formula unit. The mass density is 8.05 Mg/m³. The energy of formation is 0.019 eV per atom. Its density of states at the Fermi level is 9.2 states/eV/f.u. The calculation puts the total magnetic moment at 0.0 μB/cell.

Cell and atoms, written as POSCAR:
```
PrSm2Dy2Er2
1.0
5.668 -2.533 0.000
5.668 2.533 0.000
-1.136 0.000 7.913
Pr Sm Dy Er
1 2 2 2
Direct
0.000 0.000 0.000
0.286 0.286 0.854
0.714 0.714 0.146
0.428 0.428 0.290
0.572 0.572 0.710
0.143 0.143 0.431
0.857 0.857 0.569
```


No. 2
Pr2Sm2Dy4Er after structural relaxation. Source: Alexandria, functional GGA-PBE.

Calculated values
As for the total energy: -41.93 eV per formula unit. The mass density is 7.83 Mg/m³. The energy of formation is 0.004 eV per atom. Its density of states at the Fermi level is 12.2 states/eV/f.u. The calculation puts the total magnetic moment at 0.0 μB/cell.

Cell and atoms, written as POSCAR:
```
Pr2Sm2Dy4Er
1.0
9.410 -1.814 0.000
9.410 1.814 0.000
-4.182 0.000 8.691
Pr Sm Dy Er
2 2 4 1
Direct
0.165 0.165 0.000
0.835 0.835 0.000
0.353 0.353 0.338
0.647 0.647 0.662
0.019 0.019 0.332
0.315 0.315 0.664
0.685 0.685 0.336
0.981 0.981 0.668
0.500 0.500 0.000
```


No. 3
Pr2Sm5DyEr after structural relaxation. Source: Alexandria, functional GGA-PBE.

Calculated values
As for the total energy: -39.87 eV per formula unit. The mass density is 7.39 Mg/m³. The energy of formation is 0.272 eV per atom. Its density of states at the Fermi level is 13.2 states/eV/f.u. The calculation puts the total magnetic moment at 0.0 μB/cell.

Cell and atoms, written as POSCAR:
```
Pr2Sm5DyEr
1.0
-4.322 4.322 8.207
4.322 -4.322 8.207
4.322 4.322 -8.207
Pr Sm Dy Er
4 10 2 2
Direct
0.121 0.621 0.741
0.379 0.121 0.500
0.621 0.879 0.500
0.879 0.379 0.259
0.000 0.000 0.000
0.073 0.141 0.500
0.141 0.641 0.067
0.359 0.427 0.500
0.427 0.927 0.067
0.500 0.500 0.000
0.573 0.073 0.933
0.641 0.573 0.500
0.859 0.359 0.933
0.927 0.859 0.500
0.250 0.250 0.000
0.750 0.750 0.000
0.250 0.750 0.500
0.750 0.250 0.500
```


No. 4
Pr2Sm3Dy6Er after structural relaxation. Source: Alexandria, functional GGA-PBE.

Calculated values
As for the total energy: -55.72 eV per formula unit. The mass density is 7.96 Mg/m³. The energy of formation is 0.015 eV per atom. Its density of states at the Fermi level is 14.5 states/eV/f.u. The calculation puts the total magnetic moment at 0.0 μB/cell.

Cell and atoms, written as POSCAR:
```
Pr2Sm3Dy6Er
1.0
3.111 -5.385 0.000
3.111 5.385 0.000
-2.067 0.000 11.683
Pr Sm Dy Er
2 3 6 1
Direct
0.166 0.834 0.000
0.834 0.166 0.000
0.000 0.000 0.500
0.333 0.667 0.500
0.667 0.333 0.500
0.084 0.416 0.750
0.252 0.252 0.251
0.416 0.084 0.750
0.584 0.916 0.250
0.748 0.748 0.749
0.916 0.584 0.250
0.500 0.500 0.000
```


No. 5
PrSm6Dy2Er3 after structural relaxation. Source: Alexandria, functional GGA-PBE.

Calculated values
As for the total energy: -55.79 eV per formula unit. The mass density is 7.92 Mg/m³. The energy of formation is 0.016 eV per atom. Its density of states at the Fermi level is 14.9 states/eV/f.u. The calculation puts the total magnetic moment at 0.0 μB/cell.

Cell and atoms, written as POSCAR:
```
PrSm6Dy2Er3
1.0
3.112 -5.389 0.000
3.112 5.389 0.000
-2.068 0.000 11.686
Pr Sm Dy Er
1 6 2 3
Direct
0.000 0.000 0.000
0.085 0.419 0.253
0.249 0.249 0.747
0.419 0.085 0.253
0.581 0.915 0.747
0.751 0.751 0.253
0.915 0.581 0.747
0.333 0.667 0.000
0.667 0.333 0.000
0.167 0.833 0.500
0.500 0.500 0.500
0.833 0.167 0.500
```


No. 6
Pr2SmDyEr5 after structural relaxation. Source: Alexandria, functional GGA-PBE.

Calculated values
As for the total energy: -39.33 eV per formula unit. The mass density is 8.17 Mg/m³. The energy of formation is 0.263 eV per atom. Its density of states at the Fermi level is 10.3 states/eV/f.u. The calculation puts the total magnetic moment at 0.0 μB/cell.

Cell and atoms, written as POSCAR:
```
Pr2SmDyEr5
1.0
-4.301 4.301 7.857
4.301 -4.301 7.857
4.301 4.301 -7.857
Pr Sm Dy Er
4 2 2 10
Direct
0.119 0.619 0.737
0.381 0.119 0.500
0.619 0.881 0.500
0.881 0.381 0.263
0.250 0.750 0.500
0.750 0.250 0.500
0.250 0.250 0.000
0.750 0.750 0.000
0.000 0.000 0.000
0.071 0.148 0.500
0.148 0.648 0.077
0.352 0.429 0.500
0.429 0.929 0.077
0.500 0.500 0.000
0.571 0.071 0.923
0.648 0.571 0.500
0.852 0.352 0.923
0.929 0.852 0.500
```


No. 7
Pr5Sm2DyEr after structural relaxation. Source: Alexandria, functional GGA-PBE.

Calculated values
As for the total energy: -39.93 eV per formula unit. The mass density is 7.01 Mg/m³. The energy of formation is 0.286 eV per atom. Its density of states at the Fermi level is 14.4 states/eV/f.u. The calculation puts the total magnetic moment at 0.0 μB/cell.

Cell and atoms, written as POSCAR:
```
Pr5Sm2DyEr
1.0
-4.325 4.325 8.451
4.325 -4.325 8.451
4.325 4.325 -8.451
Pr Sm Dy Er
10 4 2 2
Direct
0.000 0.000 0.000
0.073 0.573 0.932
0.141 0.073 0.500
0.359 0.859 0.932
0.427 0.359 0.500
0.500 0.500 0.000
0.573 0.641 0.500
0.641 0.141 0.068
0.859 0.927 0.500
0.927 0.427 0.068
0.122 0.378 0.500
0.378 0.878 0.256
0.622 0.122 0.744
0.878 0.622 0.500
0.250 0.250 0.000
0.750 0.750 0.000
0.250 0.750 0.500
0.750 0.250 0.500
```


No. 8
Pr6Sm2DyEr3 after structural relaxation. Source: Alexandria, functional GGA-PBE.

Calculated values
As for the total energy: -56.25 eV per formula unit. The mass density is 7.42 Mg/m³. The energy of formation is 0.013 eV per atom. Its density of states at the Fermi level is 13.5 states/eV/f.u. The calculation puts the total magnetic moment at 0.0 μB/cell.

Cell and atoms, written as POSCAR:
```
Pr6Sm2DyEr3
1.0
3.158 -5.470 0.000
3.158 5.470 0.000
-2.099 0.000 11.731
Pr Sm Dy Er
6 2 1 3
Direct
0.084 0.417 0.753
0.249 0.249 0.247
0.417 0.084 0.753
0.583 0.916 0.247
0.751 0.751 0.753
0.916 0.583 0.247
0.333 0.667 0.500
0.667 0.333 0.500
0.000 0.000 0.500
0.167 0.833 0.000
0.500 0.500 0.000
0.833 0.167 0.000
```


> Which of these has the highest mass density?

Pr2SmDyEr5